First-principles (PBE) data for a relaxed structure of PmNdSi2Pd5, as listed in the Alexandria database.

Cell: 4.249 4.249 9.051 Å, 90.00 90.00 90.00°
Element x y z (fractional)
Pm1 0.000 0.000 0.000
Nd1 0.000 0.000 0.500
Si1 0.500 0.500 0.132
Si2 0.500 0.500 0.868
Pd1 0.000 0.500 0.266
Pd2 0.000 0.500 0.734
Pd3 0.500 0.000 0.266
Pd4 0.500 0.000 0.734
Pd5 0.500 0.500 0.500

Results
Raw formation energy (eV/f.u.): -8.0
Symmetry: No. 123

---

First-principles (PBE) data for a relaxed structure of Sr2CaCl, as listed in the Alexandria database.

Cell: 7.793 7.793 7.793 Å, 142.70 142.70 53.78°
Element x y z (fractional)
Sr1 0.000 0.000 0.000
Sr2 0.750 0.250 0.500
Ca1 0.250 0.750 0.500
Cl1 0.500 0.500 0.000

Results
Raw formation energy (eV/f.u.): -1.7
Symmetry: No. 119

---

First-principles (PBE) data for a relaxed structure of Tb3Y4Pt4, as listed in the Alexandria database.

Cell: 9.010 9.010 9.010 Å, 151.33 127.06 61.31°
Element x y z (fractional)
Tb1 0.000 0.000 0.000
Tb2 0.398 0.898 0.500
Tb3 0.602 0.102 0.500
Y1 0.037 0.331 0.707
Y2 0.376 0.669 0.707
Y3 0.624 0.331 0.293
Y4 0.963 0.669 0.293
Pt1 0.214 0.214 0.000
Pt2 0.321 0.500 0.821
Pt3 0.679 0.500 0.179
Pt4 0.786 0.786 0.000

Results
Electronic total energy (eV/atom): -6.674
Symmetry: No. 71

---

First-principles (PBE) data for a relaxed structure of Tb4Y15Ho, as listed in the Alexandria database.

Cell: 5.043 5.043 25.217 Å, 90.00 90.00 90.00°
Element x y z (fractional)
Tb1 0.000 0.000 0.100
Tb2 0.000 0.000 0.300
Tb3 0.000 0.000 0.700
Tb4 0.000 0.000 0.900
Y1 0.000 0.500 0.000
Y2 0.000 0.500 0.200
Y3 0.000 0.500 0.400
Y4 0.000 0.500 0.600
Y5 0.000 0.500 0.800
Y6 0.500 0.000 0.000
Y7 0.500 0.000 0.200
Y8 0.500 0.000 0.400
Y9 0.500 0.000 0.600
Y10 0.500 0.000 0.800
Y11 0.500 0.500 0.100
Y12 0.500 0.500 0.300
Y13 0.500 0.500 0.500
Y14 0.500 0.500 0.700
Y15 0.500 0.500 0.900
Ho1 0.000 0.000 0.500

Results
Electronic total energy (eV/atom): -5.980
Symmetry: No. 123

---

First-principles (PBE) data for a relaxed structure of CdSn2Sb, as listed in the Alexandria database.

Cell: 5.355 5.355 5.355 Å, 60.00 60.00 60.00°
Element x y z (fractional)
Cd1 0.000 0.000 0.000
Sn1 0.250 0.250 0.250
Sn2 0.750 0.750 0.750
Sb1 0.500 0.500 0.500

Results
Raw formation energy (eV/f.u.): 0.5
Symmetry: No. 225

---

First-principles (PBE) data for a relaxed structure of Tl3H7Os, as listed in the Alexandria database.

Cell: 5.565 5.565 5.185 Å, 92.87 92.87 98.98°
Element x y z (fractional)
Tl1 0.000 0.000 0.000
Tl2 0.283 0.756 0.520
Tl3 0.756 0.283 0.520
H1 0.298 0.534 0.956
H2 0.396 0.396 0.298
H3 0.498 0.854 0.096
H4 0.534 0.298 0.956
H5 0.657 0.657 0.812
H6 0.733 0.733 0.365
H7 0.854 0.498 0.096
Os1 0.576 0.576 0.108

Results
Electronic total energy (eV/atom): -3.713
Symmetry: No. 8

---

First-principles (PBE) data for a relaxed structure of TlBrCl, as listed in the Alexandria database.

Cell: 7.028 7.028 7.028 Å, 149.43 149.43 43.78°
Element x y z (fractional)
Tl1 0.000 0.000 0.000
Br1 0.638 0.638 0.000
Cl1 0.376 0.376 0.000

Results
Raw formation energy (eV/f.u.): -1.3
Symmetry: No. 107

---

First-principles (PBE) data for a relaxed structure of KCaCl4, as listed in the Alexandria database.

Cell: 6.135 6.135 6.135 Å, 60.00 60.00 60.00°
Element x y z (fractional)
K1 0.000 0.000 0.000
Ca1 0.750 0.750 0.750
Cl1 0.375 0.375 0.375
Cl2 0.375 0.375 0.874
Cl3 0.375 0.874 0.375
Cl4 0.874 0.375 0.375

Results
Raw formation energy (eV/f.u.): -5.1
Symmetry: No. 216

---

First-principles (PBE) data for a relaxed structure of Ce7TlSb3, as listed in the Alexandria database.

Cell: 8.186 8.186 8.186 Å, 136.59 111.99 84.20°
Element x y z (fractional)
Ce1 0.000 0.000 0.000
Ce2 0.114 0.758 0.356
Ce3 0.353 0.500 0.853
Ce4 0.402 0.758 0.644
Ce5 0.598 0.242 0.356
Ce6 0.647 0.500 0.147
Ce7 0.886 0.242 0.644
Tl1 0.000 0.500 0.500
Sb1 0.260 0.260 0.000
Sb2 0.500 0.000 0.500
Sb3 0.740 0.740 0.000

Results
Raw formation energy (eV/f.u.): -5.5
Symmetry: No. 71

---

First-principles (PBE) data for a relaxed structure of AgSeBr2, as listed in the Alexandria database.

Cell: 5.370 5.370 5.329 Å, 117.81 117.81 93.37°
Element x y z (fractional)
Ag1 0.000 0.000 0.000
Se1 0.500 0.500 0.000
Br1 0.000 0.500 0.500
Br2 0.500 0.000 0.500

Results
Raw formation energy (eV/f.u.): 0.2
Symmetry: No. 12

---

First-principles (PBE) data for a relaxed structure of Ce3HoIr3, as listed in the Alexandria database.

Cell: 6.898 6.898 7.031 Å, 90.52 90.52 97.91°
Element x y z (fractional)
Ce1 0.185 0.815 0.000
Ce2 0.250 0.750 0.500
Ce3 0.354 0.354 0.891
Ce4 0.646 0.646 0.109
Ce5 0.750 0.250 0.500
Ce6 0.815 0.185 0.000
Ho1 0.247 0.247 0.384
Ho2 0.753 0.753 0.616
Ir1 0.027 0.484 0.733
Ir2 0.062 0.062 0.711
Ir3 0.484 0.027 0.733
Ir4 0.516 0.973 0.267
Ir5 0.938 0.938 0.289
Ir6 0.973 0.516 0.267

Results
Electronic total energy (eV/atom): -7.619
Symmetry: No. 12

---

First-principles (PBE) data for a relaxed structure of ScSnI, as listed in the Alexandria database.

Cell: 8.239 8.239 8.239 Å, 153.91 137.63 50.44°
Element x y z (fractional)
Sc1 0.134 0.134 0.000
Sc2 0.866 0.866 0.000
Sn1 0.249 0.500 0.749
Sn2 0.751 0.500 0.251
I1 0.290 0.790 0.500
I2 0.710 0.210 0.500

Results
Raw formation energy (eV/f.u.): -1.9
Symmetry: No. 71